Eu2Sn | PBE | relaxed

Output
Formation energy from the elements   -175 kJ/mol of formula units
Energy   -8.7901 eV/atom
Space group   Pnma, No. 62
Total moment   0.1 μB/f.u.

Cell: 5.461 7.311 9.955 Å, 90.00 90.00 90.00°
Positions (direct):
Eu1 0.750 0.518 0.211
Eu2 0.750 0.197 0.923
Eu3 0.750 0.018 0.289
Eu4 0.250 0.803 0.077
Eu5 0.250 0.303 0.423
Eu6 0.250 0.982 0.711
Eu7 0.750 0.697 0.577
Eu8 0.250 0.482 0.789
Sn1 0.250 0.267 0.097
Sn2 0.250 0.767 0.403
Sn3 0.750 0.233 0.597
Sn4 0.750 0.733 0.903